No. 1
VASP calculation (GGA-PBE) on a geometry-optimized AlCd2Pd8 structure.

abc: 14.256 4.114 6.181
angles: 90.00 104.60 90.00
Space group C2/m (No. 12)
Symmetry-distinct sites (fractional):
Al (0.000, 0.000, 0.000) (multiplicity 2)
Cd (0.223, 0.500, 0.647) (multiplicity 4)
Pd (0.039, 0.500, 0.732) (multiplicity 4)
Pd (0.089, 0.000, 0.442) (multiplicity 4)
Pd (0.137, 0.500, 0.176) (multiplicity 4)
Pd (0.173, 0.000, 0.909) (multiplicity 4)

Results
DOS at the Fermi energy = 0.557 states/eV/atom
relative energy among the computed polymorphs = 0.000 eV per atom

No. 2
VASP calculation (GGA-PBE) on a geometry-optimized Tb2Dy7Sc2 structure.

abc: 3.596 17.583 10.921
angles: 90.00 90.00 90.00
Space group Imm2 (No. 44)
Symmetry-distinct sites (fractional):
Tb (0.000, 0.000, 0.000) (multiplicity 2)
Tb (0.000, 0.500, 0.197) (multiplicity 2)
Dy (0.000, 0.000, 0.343) (multiplicity 2)
Dy (0.000, 0.154, 0.839) (multiplicity 4)
Dy (0.000, 0.311, 0.077) (multiplicity 4)
Dy (0.000, 0.361, 0.620) (multiplicity 4)
Sc (0.000, 0.193, 0.336) (multiplicity 4)

Results
DOS at the Fermi energy = 1.292 states/eV/atom
relative energy among the computed polymorphs = 0.058 eV per atom

No. 3
VASP calculation (GGA-PBE) on a geometry-optimized YZr2V structure.

abc: 3.415 3.415 7.769
angles: 90.00 90.00 90.00
Space group P4/mmm (No. 123)
Symmetry-distinct sites (fractional):
Y (0.000, 0.000, 0.000) (multiplicity 1)
Zr (0.500, 0.500, 0.303) (multiplicity 2)
V (0.000, 0.000, 0.500) (multiplicity 1)

Results
DOS at the Fermi energy = 1.839 states/eV/atom
relative energy among the computed polymorphs = 0.000 eV per atom

No. 4
VASP calculation (GGA-PBE) on a geometry-optimized AcSnAu2 structure.

abc: 4.985 4.985 4.185
angles: 90.00 90.00 90.00
Space group P4/mmm (No. 123)
Symmetry-distinct sites (fractional):
Ac (0.000, 0.000, 0.000) (multiplicity 1)
Sn (0.500, 0.500, 0.000) (multiplicity 1)
Au (0.000, 0.500, 0.500) (multiplicity 2)

Results
DOS at the Fermi energy = 0.486 states/eV/atom
final energy = -4.204 eV per atom

No. 5
VASP calculation (GGA-PBE) on a geometry-optimized Pm12MgPt7 structure.

abc: 15.2469 15.2469 8.7176
angles: 90.00 90.00 120.00
Space group R-3 (No. 148, hexagonal axes)
Symmetry-distinct sites (fractional):
Pm (0.0172, 0.5804, 0.3170) (multiplicity 18)
Pm (0.0427, 0.8776, 0.2810) (multiplicity 18)
Mg (0.0000, 0.0000, 0.0000) (multiplicity 3)
Pt (0.0000, 0.0000, 0.5000) (multiplicity 3)
Pt (0.0488, 0.8587, 0.9147) (multiplicity 18)

Results
DOS at the Fermi energy = 1.064 states/eV/atom
final energy = -5.789 eV per atom

No. 6
VASP calculation (GGA-PBE) on a geometry-optimized PmCdSb2 structure.

abc: 4.096 4.096 6.512
angles: 90.00 90.00 90.00
Space group P4/mmm (No. 123)
Symmetry-distinct sites (fractional):
Pm (0.000, 0.000, 0.000) (multiplicity 1)
Cd (0.000, 0.000, 0.500) (multiplicity 1)
Sb (0.500, 0.500, 0.249) (multiplicity 2)

Results
ΔE_f (raw) = -0.48 eV/atom
DOS at the Fermi energy = 0.730 states/eV/atom
relative energy among the computed polymorphs = 0.100 eV per atom

No. 7
VASP calculation (GGA-PBE) on a geometry-optimized Be2NiCl structure.

abc: 6.075 3.521 5.846
angles: 90.00 110.27 90.00
Space group Cm (No. 8)
Symmetry-distinct sites (fractional):
Be (0.000, 0.000, 0.000) (multiplicity 2)
Be (0.121, 0.500, 0.866) (multiplicity 2)
Ni (0.254, 0.000, 0.766) (multiplicity 2)
Cl (0.120, 0.000, 0.356) (multiplicity 2)

Results
ΔE_f (raw) = -0.09 eV/atom
DOS at the Fermi energy = 0.121 states/eV/atom
relative energy among the computed polymorphs = 0.042 eV per atom

No. 8
VASP calculation (GGA-PBE) on a geometry-optimized Ac2SmDySe6 structure.

abc: 7.6138 7.6138 19.6794
angles: 90.00 90.00 120.00
Space group R3 (No. 146, hexagonal axes)
Symmetry-distinct sites (fractional):
Ac (0.0000, 0.0000, 0.0000) (multiplicity 3)
Ac (0.0000, 0.0000, 0.4992) (multiplicity 3)
Sm (0.0000, 0.0000, 0.2093) (multiplicity 3)
Dy (0.0000, 0.0000, 0.7082) (multiplicity 3)
Se (0.0579, 0.3500, 0.7793) (multiplicity 9)
Se (0.0606, 0.7029, 0.2804) (multiplicity 9)

Results
ΔE_f (raw) = -1.92 eV/atom
DOS at the Fermi energy = 0.000 states/eV/atom

No. 9
VASP calculation (GGA-PBE) on a geometry-optimized K2PrCd2O4 structure.

abc: 12.815 3.684 8.961
angles: 90.00 125.55 90.00
Space group C2/m (No. 12)
Symmetry-distinct sites (fractional):
K (0.181, 0.000, 0.285) (multiplicity 4)
Pr (0.000, 0.000, 0.500) (multiplicity 2)
Cd (0.122, 0.500, 0.890) (multiplicity 4)
O (0.069, 0.500, 0.398) (multiplicity 4)
O (0.200, 0.000, 0.812) (multiplicity 4)

Results
ΔE_f (raw) = -1.62 eV/atom
DOS at the Fermi energy = 0.199 states/eV/atom

No. 10
VASP calculation (GGA-PBE) on a geometry-optimized InNiHg2Ru structure.

abc: 4.865 4.865 4.804
angles: 90.00 90.00 90.00
Space group P4/mmm (No. 123)
Symmetry-distinct sites (fractional):
In (0.000, 0.000, 0.000) (multiplicity 1)
Ni (0.000, 0.000, 0.500) (multiplicity 1)
Hg (0.000, 0.500, 0.500) (multiplicity 2)
Ru (0.500, 0.500, 0.000) (multiplicity 1)

Results
DOS at the Fermi energy = 1.267 states/eV/atom
final energy = -2.820 eV per atom

No. 11
VASP calculation (GGA-PBE) on a geometry-optimized LaTmGa2Au5 structure.

abc: 4.813 4.813 8.371
angles: 90.00 90.00 90.00
Space group P4/mmm (No. 123)
Symmetry-distinct sites (fractional):
La (0.000, 0.000, 0.000) (multiplicity 1)
Tm (0.000, 0.000, 0.500) (multiplicity 1)
Ga (0.500, 0.500, 0.352) (multiplicity 2)
Au (0.000, 0.500, 0.249) (multiplicity 4)
Au (0.500, 0.500, 0.000) (multiplicity 1)

Results
DOS at the Fermi energy = 0.472 states/eV/atom
final energy = -4.042 eV per atom

No. 12
VASP calculation (GGA-PBE) on a geometry-optimized Cd3Sn2 structure.

abc: 10.327 4.571 7.226
angles: 90.00 132.81 90.00
Space group C2/m (No. 12)
Symmetry-distinct sites (fractional):
Cd (0.000, 0.000, 0.000) (multiplicity 2)
Cd (0.104, 0.500, 0.805) (multiplicity 4)
Sn (0.205, 0.000, 0.608) (multiplicity 4)

Results
DOS at the Fermi energy = 0.214 states/eV/atom
relative energy among the computed polymorphs = 0.000 eV per atom